1.
Computed, not measured: crystalline Cs2PdN at its relaxed geometry at the PBE level of DFT.

Values from the calculation:
D(E_F) ... 1.804 states/eV/atom
E ... -0.1012 Ha/atom
V ... 32.30 Å³/atom
Total magnetic moment ... 1.36 μB/f.u.

Lattice parameters (Å, degrees): 5.675 5.675 5.675 60.00 60.00 60.00
Fractional coordinates of all 4 atoms:
1 Pd 0.500 0.500 0.500
2 Cs 0.250 0.250 0.250
3 N 0.000 0.000 0.000
4 Cs 0.750 0.750 0.750

2.
Computed, not measured: crystalline Ba2CaSi at its relaxed geometry at the PBE level of DFT.

Values from the calculation:
D(E_F) ... 0.612 states/eV/atom
E ... -0.1022 Ha/atom
V ... 37.36 Å³/atom
Total magnetic moment ... 0.00 μB/f.u.
E above lowest polymorph ... 175 meV/atom

Lattice parameters (Å, degrees): 5.957 5.957 5.957 60.00 60.00 60.00
Fractional coordinates of all 4 atoms:
1 Si 0.000 0.000 0.000
2 Ba 0.750 0.750 0.750
3 Ba 0.250 0.250 0.250
4 Ca 0.500 0.500 0.500

3.
Computed, not measured: crystalline ErCu3Pd4O12 at its relaxed geometry at the PBE level of DFT.

Values from the calculation:
D(E_F) ... 0.649 states/eV/atom
E ... -0.2075 Ha/atom
V ... 10.93 Å³/atom
Total magnetic moment ... 0.00 μB/f.u.

Lattice parameters (Å, degrees): 6.572 6.572 6.572 109.47 109.47 109.47
Fractional coordinates of all 20 atoms:
1 O 0.840 0.143 0.302
2 O 0.857 0.698 0.160
3 Cu 0.500 0.500 0.000
4 O 0.698 0.160 0.857
5 Er 0.000 0.000 0.000
6 Cu 0.500 0.000 0.500
7 Pd 0.500 0.000 0.000
8 O 0.538 0.698 0.840
9 O 0.462 0.302 0.160
10 O 0.160 0.462 0.302
11 O 0.840 0.538 0.698
12 Cu 0.000 0.500 0.500
13 Pd 0.500 0.500 0.500
14 O 0.143 0.302 0.840
15 O 0.302 0.160 0.462
16 Pd 0.000 0.000 0.500
17 O 0.160 0.857 0.698
18 Pd 0.000 0.500 0.000
19 O 0.698 0.840 0.538
20 O 0.302 0.840 0.143

4.
Computed, not measured: crystalline P4IrRh2 at its relaxed geometry at the PBE level of DFT.

Values from the calculation:
E_form ... 8.23 kcal/mol of atoms
D(E_F) ... 0.733 states/eV/atom
E ... -0.2242 Ha/atom
V ... 17.92 Å³/atom
Total magnetic moment ... 0.00 μB/f.u.

Lattice parameters (Å, degrees): 4.635 4.635 6.695 69.74 69.74 90.00
Fractional coordinates of all 7 atoms:
1 P 0.207 0.207 0.587
2 Rh 0.611 0.611 0.779
3 Rh 0.389 0.389 0.221
4 Ir 0.000 0.000 0.000
5 P 0.793 0.793 0.413
6 P 0.000 0.500 0.000
7 P 0.500 0.000 0.000

5.
Computed, not measured: crystalline YPaGaPt at its relaxed geometry at the PBE level of DFT.

Values from the calculation:
E_form ... -12.56 kcal/mol of atoms
D(E_F) ... 1.753 states/eV/atom
E ... -0.2500 Ha/atom
V ... 22.43 Å³/atom
Total magnetic moment ... 0.92 μB/f.u.

Lattice parameters (Å, degrees): 5.025 5.025 5.025 60.00 60.00 60.00
Fractional coordinates of all 4 atoms:
1 Pa 0.000 0.000 0.000
2 Ga 0.250 0.250 0.250
3 Pt 0.750 0.750 0.750
4 Y 0.500 0.500 0.500

6.
Computed, not measured: crystalline Ba2AlH6Pd at its relaxed geometry at the PBE level of DFT.

Values from the calculation:
D(E_F) ... 0.133 states/eV/atom
E ... -0.1328 Ha/atom
V ... 13.54 Å³/atom
Total magnetic moment ... 0.00 μB/f.u.

Lattice parameters (Å, degrees): 5.491 5.491 5.935 117.56 117.56 90.00
Fractional coordinates of all 10 atoms:
1 H 0.254 0.255 0.998
2 H 0.193 0.194 0.386
3 Pd 0.533 0.533 0.066
4 H 0.736 0.736 0.472
5 H 0.743 0.744 0.998
6 Al 0.000 0.000 0.000
7 H 0.254 0.744 0.998
8 Ba 0.271 0.771 0.542
9 Ba 0.771 0.271 0.542
10 H 0.743 0.255 0.998

7.
Computed, not measured: crystalline LaU2O7 at its relaxed geometry at the PBE level of DFT.

Values from the calculation:
D(E_F) ... 0.737 states/eV/atom
E ... -0.3486 Ha/atom
V ... 13.67 Å³/atom
Total magnetic moment ... 1.04 μB/f.u.

Lattice parameters (Å, degrees): 3.876 3.876 10.741 79.60 79.60 60.00
Fractional coordinates of all 10 atoms:
1 O 0.866 0.866 0.403
2 U 0.066 0.066 0.802
3 O 0.419 0.419 0.742
4 O 0.581 0.581 0.258
5 O 0.280 0.280 0.159
6 U 0.934 0.934 0.198
7 O 0.134 0.134 0.597
8 O 0.720 0.720 0.841
9 O 0.000 0.000 0.000
10 La 0.500 0.500 0.500

8.
Computed, not measured: crystalline Ac2BS5 at its relaxed geometry at the PBE level of DFT.

Values from the calculation:
D(E_F) ... 0.534 states/eV/atom
E ... -0.2066 Ha/atom
V ... 22.90 Å³/atom
Total magnetic moment ... 0.00 μB/f.u.

Lattice parameters (Å, degrees): 6.611 6.611 6.278 121.76 121.77 90.00
Fractional coordinates of all 8 atoms:
1 S 0.801 0.801 0.042
2 B 0.953 0.953 0.905
3 Ac 0.756 0.256 0.513
4 Ac 0.256 0.756 0.513
5 S 0.241 0.241 0.041
6 S 0.729 0.729 0.458
7 S 0.801 0.241 0.041
8 S 0.241 0.801 0.041

9.
Computed, not measured: crystalline ZnAg2Sb at its relaxed geometry at the PBE level of DFT.

Values from the calculation:
D(E_F) ... 0.338 states/eV/atom
E ... -0.0985 Ha/atom
V ... 19.70 Å³/atom
Total magnetic moment ... 0.00 μB/f.u.
E above lowest polymorph ... 23 meV/atom

Lattice parameters (Å, degrees): 2.974 3.989 6.644 90.00 90.00 90.00
Fractional coordinates of all 4 atoms:
1 Ag 0.000 0.000 0.538
2 Ag 0.000 0.000 0.962
3 Zn 0.500 0.500 0.750
4 Sb 0.500 0.500 0.250

10.
Computed, not measured: crystalline ZrPaTcRu at its relaxed geometry at the PBE level of DFT.

Values from the calculation:
E_form ... -8.86 kcal/mol of atoms
D(E_F) ... 0.710 states/eV/atom
E ... -0.3604 Ha/atom
V ... 19.03 Å³/atom
Total magnetic moment ... 0.00 μB/f.u.

Lattice parameters (Å, degrees): 4.757 4.757 4.757 60.00 60.00 60.00
Fractional coordinates of all 4 atoms:
1 Pa 0.000 0.000 0.000
2 Tc 0.750 0.750 0.750
3 Zr 0.500 0.500 0.500
4 Ru 0.250 0.250 0.250

11.
Computed, not measured: crystalline LiCePrSi at its relaxed geometry at the PBE level of DFT.

Values from the calculation:
D(E_F) ... 2.324 states/eV/atom
E ... -0.1746 Ha/atom
V ... 24.13 Å³/atom
Total magnetic moment ... 1.10 μB/f.u.

Lattice parameters (Å, degrees): 5.149 5.149 5.149 60.00 60.00 60.00
Fractional coordinates of all 4 atoms:
1 Pr 0.750 0.750 0.750
2 Ce 0.250 0.250 0.250
3 Li 0.500 0.500 0.500
4 Si 0.000 0.000 0.000

12.
Computed, not measured: crystalline RbLaY2 at its relaxed geometry at the PBE level of DFT.

Values from the calculation:
E_form ... 18.18 kcal/mol of atoms
D(E_F) ... 1.813 states/eV/atom
E ... -0.1440 Ha/atom
V ... 39.07 Å³/atom
Total magnetic moment ... 1.25 μB/f.u.
E above lowest polymorph ... 190 meV/atom

Lattice parameters (Å, degrees): 4.939 4.939 13.282 79.29 79.29 90.00
Fractional coordinates of all 8 atoms:
1 Y 0.638 0.125 0.250
2 Y 0.875 0.888 0.750
3 Rb 0.500 0.500 0.000
4 La 0.750 0.250 0.500
5 La 0.000 0.000 0.000
6 Y 0.112 0.625 0.250
7 Rb 0.250 0.750 0.500
8 Y 0.375 0.362 0.750